No. 1
AgHg2Te: relaxed, PBE.

Unit cell a=5.206 b=5.206 c=5.206 alpha=60.00 beta=60.00 gamma=60.00
Fractional positions:
Ag (0.000, 0.000, 0.000)
Te (0.500, 0.500, 0.500)
Hg (0.250, 0.250, 0.250)
Hg (0.750, 0.750, 0.750)

## Properties
Space-group type: Fm-3m, No. 225
E_form (uncorrected) in eV per atom: 0.199
Size of the total moment in μB per atom: 0.000



No. 2
Ag2HgTe2: relaxed, PBE.

Unit cell a=9.083 b=9.083 c=3.151 alpha=90.00 beta=90.00 gamma=90.00
Fractional positions:
Ag (0.359, 0.141, 0.500)
Ag (0.859, 0.359, 0.500)
Ag (0.141, 0.641, 0.500)
Ag (0.641, 0.859, 0.500)
Te (0.843, 0.657, 0.000)
Te (0.657, 0.157, 0.000)
Te (0.343, 0.843, 0.000)
Te (0.157, 0.343, 0.000)
Hg (0.500, 0.500, 0.000)
Hg (0.000, 0.000, 0.000)

## Properties
Space-group type: P4/mbm, No. 127
E_form (uncorrected) in eV per atom: 0.093
Size of the total moment in μB per atom: 0.000



No. 3
AgHg2Te: relaxed, PBE.

Unit cell a=3.238 b=3.238 c=9.845 alpha=90.00 beta=90.00 gamma=90.00
Fractional positions:
Hg (0.500, 0.500, 0.227)
Hg (0.000, 0.000, 0.968)
Ag (0.500, 0.500, 0.762)
Te (0.000, 0.000, 0.543)

## Properties
Space-group type: P4mm, No. 99
E_form (uncorrected) in eV per atom: 0.102
Size of the total moment in μB per atom: 0.000



No. 4
AgHgTe: relaxed, PBE.

Unit cell a=3.216 b=4.684 c=11.620 alpha=85.51 beta=74.27 gamma=73.59
Fractional positions:
Te (0.845, 0.233, 0.803)
Te (0.155, 0.767, 0.197)
Ag (0.594, 0.223, 0.068)
Ag (0.406, 0.777, 0.932)
Hg (0.294, 0.753, 0.588)
Hg (0.706, 0.247, 0.412)

## Properties
Space-group type: P-1, No. 2
E_form (uncorrected) in eV per atom: -0.016
Size of the total moment in μB per atom: 0.000



No. 5
AgHg2Te: relaxed, PBE.

Unit cell a=10.055 b=10.055 c=10.055 alpha=19.58 beta=19.58 gamma=19.58
Fractional positions:
Hg (0.991, 0.991, 0.991)
Hg (0.509, 0.509, 0.509)
Ag (0.250, 0.250, 0.250)
Te (0.750, 0.750, 0.750)

## Properties
Space-group type: R-3m, No. 166
E_form (uncorrected) in eV per atom: 0.129
Size of the total moment in μB per atom: 0.000



No. 6
Ag2HgTe: relaxed, PBE.

Unit cell a=9.327 b=9.327 c=9.327 alpha=21.07 beta=21.07 gamma=21.07
Fractional positions:
Ag (0.999, 0.999, 0.999)
Ag (0.501, 0.501, 0.501)
Te (0.750, 0.750, 0.750)
Hg (0.250, 0.250, 0.250)

## Properties
Space-group type: R-3m, No. 166
E_form (uncorrected) in eV per atom: 0.159
Size of the total moment in μB per atom: 0.000



Summary of ρ in g/cm³
10.60 8.58 10.24 8.96 10.59 9.84
(order as listed above)